# KTb3Nd2Se6 PBE relaxed
data_KTb3Nd2Se6
_chemical_formula_sum 'K1 Tb3 Nd2 Se6'
_cell_length_a 9.458
_cell_length_b 9.458
_cell_length_c 8.554
_cell_angle_alpha 103.97
_cell_angle_beta 103.97
_cell_angle_gamma 25.34
_space_group_name_H-M_alt 'P 1'
_space_group_IT_number 1
_space_group_name_Hall 'P 1'
loop_
_atom_site_label
_atom_site_type_symbol
_atom_site_fract_x
_atom_site_fract_y
_atom_site_fract_z
K1 K 0.000 0.000 0.000
Tb1 Tb 0.000 0.000 0.500
Tb2 Tb 0.335 0.335 0.175
Tb3 Tb 0.665 0.665 0.825
Nd1 Nd 0.328 0.328 0.653
Nd2 Nd 0.672 0.672 0.347
Se1 Se 0.162 0.162 0.591
Se2 Se 0.173 0.173 0.078
Se3 Se 0.499 0.499 0.268
Se4 Se 0.501 0.501 0.732
Se5 Se 0.827 0.827 0.922
Se6 Se 0.838 0.838 0.409
# E: -5.560 eV per atom
# Size of the total moment: 0.000 μB per formula unit
# Density: 6.69 g/cm3